Entry from the Alexandria database: Ca2Mg after structural relaxation (PBE).

Results
The calculation puts the final energy at -1.8194 eV/atom. The crystal system is hexagonal. The value obtained for the energy of formation is 0.05 eV/atom. For the density of states at the Fermi level, the calculation gives 1.009 states/eV per atom.

abc: 3.787 3.787 17.433
angles: 90.00 90.00 120.00
Sites, in units of the cell vectors:
Ca (0.667, 0.333, 0.000)
Mg (0.667, 0.333, 0.343)
Ca (0.000, 0.000, 0.500)
Ca (0.000, 0.000, 0.186)
Ca (0.000, 0.000, 0.814)
Mg (0.667, 0.333, 0.657)